(1)
LaMgFeMo2, relaxed, DFT GGA-PBE; calculated formation energy = 1.921 eV per atom; mass density = 6.47 g cm⁻³; final energy = -5.41 eV per atom; V = 21.1 Å³ per atom
1.0
-2.464 1.507 -3.912
1.964 -3.162 -2.455
-3.604 -3.080 1.083
Fe Mo Mg La
1 2 1 1
Cartesian
0.982 -1.581 -1.227
-1.232 0.754 -1.956
-1.802 -1.540 0.542
-2.052 -2.367 -2.642
0.000 0.000 0.000

(2)
Mg3GaH2Pd6, relaxed, DFT GGA-PBE; mass density = 6.23 g cm⁻³; final energy = -4.18 eV per atom; V = 17.4 Å³ per atom
1.0
-2.022 -0.328 5.152
-1.262 -3.906 -3.727
6.284 -4.132 2.203
Pd Mg H Ga
6 3 2 1
Cartesian
2.697 -3.957 5.244
0.303 -4.409 -1.617
-0.683 -4.569 0.896
2.082 -5.861 3.427
0.918 -2.504 0.201
3.683 -3.797 2.732
0.643 -3.107 3.038
2.357 -5.259 0.590
0.000 0.000 0.000
-0.597 -3.317 -0.446
3.597 -5.049 4.073
3.142 -2.066 1.101

(3)
TaAsOs2, relaxed, DFT GGA-PBE; calculated formation energy = 0.105 eV per atom; mass density = 17.01 g cm⁻³; final energy = -9.64 eV per atom; V = 15.5 Å³ per atom
1.0
-2.714 -1.967 -2.480
-1.155 -1.296 2.291
-3.923 3.272 1.698
As Ta Os
1 1 2
Cartesian
-5.165 0.499 1.751
-2.626 -0.489 -0.243
-2.737 0.883 2.295
-4.880 2.082 3.688

(4)
Tb3Sm4Ho3, relaxed, DFT GGA-PBE; calculated formation energy = 0.095 eV per atom; mass density = 7.97 g cm⁻³; final energy = -4.56 eV per atom; V = 32.8 Å³ per atom
1.0
3.783 0.000 0.000
0.000 9.306 -0.035
0.000 0.047 9.306
Sm Ho Tb
4 3 3
Cartesian
0.000 8.137 8.070
0.000 3.479 5.843
0.000 5.874 3.427
0.000 1.211 1.205
1.891 6.260 6.204
1.891 7.737 1.547
1.891 3.094 3.065
1.891 1.614 7.725
0.000 4.664 -0.011
0.000 9.322 4.607

- What is the mass density in the third record?
  17.01 g cm⁻³

What did the first record say?
LaMgFeMo2, relaxed, DFT GGA-PBE; calculated formation energy = 1.921 eV per atom; mass density = 6.47 g cm⁻³; final energy = -5.41 eV per atom; V = 21.1 Å³ per atom
1.0
-2.464 1.507 -3.912
1.964 -3.162 -2.455
-3.604 -3.080 1.083
Fe Mo Mg La
1 2 1 1
Cartesian
0.982 -1.581 -1.227
-1.232 0.754 -1.956
-1.802 -1.540 0.542
-2.052 -2.367 -2.642
0.000 0.000 0.000

- What is the formula in the third record?
  TaAsOs2